1.
VASP calculation (PBE) on TiS2O after structural relaxation.

The calculation puts the raw formation energy at -182 meV/atom. The crystal system is tetragonal. The calculation puts the total energy at -5.4585 eV per atom.

It has space group I-42d (No. 122), with a = 5.1427 Å, b = 5.1427 Å, c = 11.0186 Å, α = 90.00°, β = 90.00° and γ = 90.00°. The inequivalent atoms are Ti at (0.0000, 0.0000, 0.0000), S at (0.2402, 0.2500, 0.6250) and O at (0.0000, 0.0000, 0.5000).

2.
VASP calculation (PBE) on CaLa2Ce2Rh5 after structural relaxation.

As for the formation enthalpy at 0 K: -497 meV per atom. The crystal system is tetragonal. The calculation puts the total energy at -6.5455 eV per atom.

It has space group P4/mbm (No. 127), with a = 11.0910 Å, b = 11.0910 Å, c = 3.6089 Å, α = 90.00°, β = 90.00° and γ = 90.00°. The inequivalent atoms are Ca at (0.0000, 0.0000, 0.0000), La at (0.1693, 0.3307, 0.0000), Ce at (0.1419, 0.6419, 0.0000), Rh at (0.0000, 0.5000, 0.5000) and Rh at (0.0494, 0.7927, 0.5000).

3.
VASP calculation (PBE) on Th4SiAs3 after structural relaxation.

The calculation puts the raw formation energy at -1228 meV/atom. The crystal system is monoclinic. The calculation puts the total energy at -7.3598 eV per atom.

It has space group P2/c (No. 13), with a = 7.3820 Å, b = 8.4931 Å, c = 7.3822 Å, α = 90.00°, β = 109.28° and γ = 90.00°. The inequivalent atoms are Th at (0.2444, 0.1221, 0.0005), Th at (0.2474, 0.3718, 0.4965), Si at (0.0000, 0.1257, 0.2500), As at (0.0000, 0.3756, 0.7500), As at (0.5000, 0.1260, 0.7500) and As at (0.5000, 0.3759, 0.2500).